(1)
Here is a relaxed structure of Ac2PmNi2 from Alexandria. Energies are from GGA-PBE.

Calculated values
Its formation energy is -0.220 eV per atom. Its density is 8.59 g/cm3. The value obtained for the energy above the lowest structure with this stoichiometry is 0.000 eV per atom. Its crystal system is monoclinic. The total energy comes out at -5.13 eV/atom. For the density of states at the Fermi level, the calculation gives 8.85 states/eV/cell.

Structure (POSCAR):
```
Ac2PmNi2
1.0
-0.619 -0.931 3.856
-1.283 -6.888 0.221
9.584 -3.275 2.838
Ac Ni Pm
4 4 2
Direct
0.464 0.385 0.687
0.536 0.615 0.313
0.342 0.247 0.069
0.658 0.753 0.931
0.114 0.316 0.456
0.004 0.109 0.882
0.886 0.684 0.544
0.996 0.891 0.118
0.787 0.063 0.364
0.213 0.937 0.636
```

=====

(2)
Here is a relaxed structure of Sm3Tm2Sn3 from Alexandria. Energies are from GGA-PBE.

Calculated values
Its formation energy is -0.718 eV per atom. Its density is 8.15 g/cm3. Its crystal system is hexagonal. The total energy comes out at -5.11 eV/atom. For the density of states at the Fermi level, the calculation gives 14.16 states/eV/cell.

Structure (POSCAR):
```
Sm3Tm2Sn3
1.0
-1.355 6.014 -2.290
-2.605 -3.592 -7.891
-6.031 1.174 6.649
Sn Sm Tm
6 6 4
Direct
0.250 0.602 0.602
0.750 0.000 0.602
0.750 0.398 0.398
0.250 0.398 0.000
0.250 0.000 0.398
0.750 0.602 0.000
0.250 0.241 0.241
0.250 0.000 0.759
0.750 0.000 0.241
0.750 0.241 0.000
0.750 0.759 0.759
0.250 0.759 0.000
0.500 0.333 0.667
0.000 0.667 0.333
0.500 0.667 0.333
0.000 0.333 0.667
```

=====

(3)
Here is a relaxed structure of RbZnI3 from Alexandria. Energies are from GGA-PBE.

Calculated values
Its density is 3.56 g/cm3. The calculation puts the formation energy (no corrections) at -0.96 eV per atom. The value obtained for the energy above the lowest structure with this stoichiometry is 0.000 eV per atom. Its crystal system is triclinic. The total energy comes out at -2.34 eV/atom. For the density of states at the Fermi level, the calculation gives 0.00 states/eV/cell.

Structure (POSCAR):
```
RbZnI3
1.0
-5.141 4.533 -4.382
-6.001 -7.192 -0.388
-2.584 7.756 11.171
I Rb Zn
12 4 4
Direct
0.090 0.423 0.622
0.522 0.989 0.145
0.978 0.990 0.645
0.587 0.578 0.877
0.593 0.242 0.541
0.022 0.010 0.355
0.909 0.242 0.043
0.407 0.758 0.459
0.910 0.577 0.378
0.478 0.011 0.855
0.413 0.422 0.123
0.091 0.758 0.957
0.203 0.340 0.859
0.295 0.340 0.357
0.797 0.660 0.141
0.705 0.660 0.643
0.098 0.815 0.458
0.902 0.185 0.542
0.401 0.815 0.958
0.599 0.185 0.042
```

=====

(4)
Here is a relaxed structure of Tb3NiSe2 from Alexandria. Energies are from GGA-PBE.

Calculated values
Its density is 8.02 g/cm3. The calculation puts the formation energy (no corrections) at -1.27 eV per atom. Its crystal system is orthorhombic. The total energy comes out at -5.71 eV/atom. For the density of states at the Fermi level, the calculation gives 6.20 states/eV/cell.

Structure (POSCAR):
```
Tb3NiSe2
1.0
-2.755 -0.304 2.757
-4.071 -0.673 -4.141
4.269 -5.736 0.862
Tb Se Ni
3 2 1
Direct
0.000 0.000 0.000
0.648 0.648 0.297
0.352 0.352 0.703
0.326 0.826 0.653
0.674 0.174 0.347
0.000 0.500 0.000
```

=====

(5)
Here is a relaxed structure of SrPmZnCu from Alexandria. Energies are from GGA-PBE.

Calculated values
Its formation energy is -0.098 eV per atom. Its density is 5.87 g/cm3. Its crystal system is cubic. The total energy comes out at -3.05 eV/atom. For the density of states at the Fermi level, the calculation gives 3.93 states/eV/cell.

Structure (POSCAR):
```
SrPmZnCu
1.0
5.249 0.000 0.000
2.624 4.545 0.000
2.624 1.515 4.285
Cu Pm Sr Zn
1 1 1 1
Direct
0.250 0.250 0.250
0.500 0.500 0.500
0.000 0.000 0.000
0.750 0.750 0.750
```

=====

(6)
Here is a relaxed structure of Cs3RbAu from Alexandria. Energies are from GGA-PBE.

Calculated values
Its formation energy is -0.129 eV per atom. Its density is 2.92 g/cm3. The value obtained for the energy above the lowest structure with this stoichiometry is 0.018 eV per atom. Its crystal system is triclinic. The total energy comes out at -1.49 eV/atom. For the density of states at the Fermi level, the calculation gives 7.30 states/eV/cell.

Structure (POSCAR):
```
Cs3RbAu
1.0
-3.280 -10.418 -3.624
4.161 -3.614 4.743
-7.127 -3.562 5.985
Cs Rb Au
6 2 2
Direct
0.133 0.604 0.765
0.854 0.062 0.712
0.406 0.075 0.883
0.884 0.189 0.153
0.638 0.665 0.423
0.356 0.129 0.362
0.615 0.537 0.986
0.086 0.647 0.252
0.639 0.991 0.078
0.856 0.734 0.056
```

=====

(7)
Here is a relaxed structure of Ac2Cd12Ag3Pb from Alexandria. Energies are from GGA-PBE.

Calculated values
Its formation energy is -0.019 eV per atom. Its density is 8.09 g/cm3. Its crystal system is trigonal. The total energy comes out at -1.77 eV/atom. For the density of states at the Fermi level, the calculation gives 8.92 states/eV/cell.

Structure (POSCAR):
```
Ac2Cd12Ag3Pb
1.0
14.335 4.846 3.437
11.293 10.072 3.437
11.293 6.574 8.369
Ag Ac Cd Pb
3 2 12 1
Direct
0.000 0.000 0.500
0.500 0.000 0.000
0.000 0.500 0.000
0.644 0.644 0.644
0.356 0.356 0.356
0.389 0.871 0.389
0.389 0.389 0.871
0.106 0.603 0.106
0.611 0.129 0.611
0.397 0.894 0.894
0.603 0.106 0.106
0.611 0.611 0.129
0.871 0.389 0.389
0.894 0.397 0.894
0.106 0.106 0.603
0.894 0.894 0.397
0.129 0.611 0.611
0.000 0.000 0.000
```

=====

(8)
Here is a relaxed structure of Mg2SnN from Alexandria. Energies are from GGA-PBE.

Calculated values
Its density is 4.35 g/cm3. The calculation puts the formation energy (no corrections) at -0.48 eV per atom. The value obtained for the energy above the lowest structure with this stoichiometry is 0.000 eV per atom. Its crystal system is trigonal. The total energy comes out at -4.36 eV/atom. For the density of states at the Fermi level, the calculation gives 1.44 states/eV/cell.

Structure (POSCAR):
```
Mg2SnN
1.0
-2.120 -1.557 -1.934
1.045 -2.354 -2.006
-1.519 -6.403 4.066
Mg N Sn
2 1 1
Direct
0.712 0.712 0.863
0.288 0.288 0.137
0.000 0.000 0.000
0.500 0.500 0.500
```

=====

(9)
Here is a relaxed structure of Fe2AsSN from Alexandria. Energies are from GGA-PBE.

Calculated values
Its density is 4.75 g/cm3. The calculation puts the formation energy (no corrections) at 1.12 eV per atom. Its crystal system is tetragonal. The total energy comes out at -5.69 eV/atom. For the density of states at the Fermi level, the calculation gives 7.48 states/eV/cell.

Structure (POSCAR):
```
Fe2AsSN
1.0
4.692 0.000 0.000
0.000 3.695 0.000
0.000 0.000 4.692
Fe As N S
2 1 1 1
Direct
0.000 0.000 0.500
0.500 0.000 0.000
0.000 0.000 0.000
0.000 0.500 0.000
0.500 0.500 0.500
```

=====

(10)
Here is a relaxed structure of KRu2 from Alexandria. Energies are from GGA-PBE.

Calculated values
Its formation energy is 0.599 eV per atom. Its density is 5.15 g/cm3. Its crystal system is triclinic. The total energy comes out at -5.95 eV/atom. For the density of states at the Fermi level, the calculation gives 7.03 states/eV/cell.

Structure (POSCAR):
```
KRu2
1.0
2.820 -0.001 0.001
-0.001 4.551 0.002
-0.362 -1.818 12.113
Ru K
4 2
Direct
0.392 0.009 0.105
0.891 0.510 0.102
0.870 0.796 0.934
0.369 0.295 0.937
0.834 0.211 0.687
0.421 0.580 0.351
```

=====

(11)
Here is a relaxed structure of YZrRe2 from Alexandria. Energies are from GGA-PBE.

Calculated values
Its formation energy is 0.284 eV per atom. Its density is 12.28 g/cm3. The value obtained for the energy above the lowest structure with this stoichiometry is 0.280 eV per atom. Its crystal system is orthorhombic. The total energy comes out at -9.69 eV/atom. For the density of states at the Fermi level, the calculation gives 3.61 states/eV/cell.

Structure (POSCAR):
```
YZrRe2
1.0
5.480 -0.002 0.001
2.299 4.975 -0.001
-3.296 -3.414 2.740
Re Zr Y
2 1 1
Direct
0.006 0.006 0.000
0.494 0.494 0.000
0.250 0.750 0.500
0.750 0.250 0.500
```

=====

(12)
Here is a relaxed structure of AlHg2Pt from Alexandria. Energies are from GGA-PBE.

Calculated values
Its formation energy is -0.093 eV per atom. Its density is 7.89 g/cm3. Its crystal system is tetragonal. The total energy comes out at -2.69 eV/atom. For the density of states at the Fermi level, the calculation gives 3.20 states/eV/cell.

Structure (POSCAR):
```
AlHg2Pt
1.0
10.518 0.000 0.000
0.000 10.518 0.000
5.259 5.259 2.371
Hg Al Pt
4 2 2
Direct
0.875 0.126 0.750
0.874 0.625 0.250
0.375 0.124 0.750
0.876 0.125 0.250
0.250 0.750 0.500
0.500 0.500 0.000
0.750 0.250 0.500
0.000 0.000 0.000
```

=====

(13)
Here is a relaxed structure of AgRuPb from Alexandria. Energies are from GGA-PBE.

Calculated values
Its formation energy is 0.558 eV per atom. Its density is 12.07 g/cm3. The value obtained for the energy above the lowest structure with this stoichiometry is 0.011 eV per atom. Its crystal system is tetragonal. The total energy comes out at -4.72 eV/atom. For the density of states at the Fermi level, the calculation gives 2.88 states/eV/cell.

Structure (POSCAR):
```
AgRuPb
1.0
5.415 0.312 -0.274
3.028 4.503 0.272
-4.087 -2.645 2.413
Ru Ag Pb
1 1 1
Direct
0.328 0.328 0.000
0.994 0.994 0.000
0.679 0.679 0.000
```

=====

(14)
Here is a relaxed structure of LiDy3 from Alexandria. Energies are from GGA-PBE.

Calculated values
Its formation energy is 0.186 eV per atom. Its density is 7.01 g/cm3. The value obtained for the energy above the lowest structure with this stoichiometry is 0.108 eV per atom. Its crystal system is hexagonal. The total energy comes out at -3.74 eV/atom. For the density of states at the Fermi level, the calculation gives 13.04 states/eV/cell.

Structure (POSCAR):
```
LiDy3
1.0
3.503 -6.068 0.000
3.503 6.068 0.000
0.000 0.000 5.511
Dy Li
6 2
Direct
0.168 0.337 0.250
0.832 0.663 0.750
0.337 0.168 0.750
0.832 0.168 0.750
0.168 0.832 0.250
0.663 0.832 0.250
0.333 0.667 0.750
0.667 0.333 0.250
```

=====

(15)
Here is a relaxed structure of BHS2 from Alexandria. Energies are from GGA-PBE.

Calculated values
Its density is 1.90 g/cm3. The value obtained for the energy above the lowest structure with this stoichiometry is 0.858 eV per atom. Its crystal system is trigonal. The total energy comes out at -3.99 eV/atom. For the density of states at the Fermi level, the calculation gives 1.16 states/eV/cell.

Structure (POSCAR):
```
BHS2
1.0
-1.441 5.559 2.000
1.707 4.584 3.612
1.722 5.830 0.162
S B H
2 1 1
Direct
0.098 0.098 0.098
0.902 0.902 0.902
0.000 0.000 0.000
0.500 0.500 0.500
```

=====

(16)
Here is a relaxed structure of SnH2N from Alexandria. Energies are from GGA-PBE.

Calculated values
Its density is 5.97 g/cm3. The value obtained for the energy above the lowest structure with this stoichiometry is 0.372 eV per atom. Its crystal system is trigonal. The total energy comes out at -3.57 eV/atom. For the density of states at the Fermi level, the calculation gives 0.68 states/eV/cell.

Structure (POSCAR):
```
SnH2N
1.0
-2.712 0.646 0.901
-0.773 -0.484 2.784
0.352 4.699 2.455
H Sn N
2 1 1
Direct
0.171 0.171 0.487
0.829 0.829 0.513
0.000 0.000 0.000
0.500 0.500 0.500
```

=====

(17)
Here is a relaxed structure of HgRu2W from Alexandria. Energies are from GGA-PBE.

Calculated values
Its formation energy is 0.490 eV per atom. Its density is 15.34 g/cm3. The value obtained for the energy above the lowest structure with this stoichiometry is 0.271 eV per atom. Its crystal system is tetragonal. The total energy comes out at -7.46 eV/atom. For the density of states at the Fermi level, the calculation gives 3.51 states/eV/cell.

Structure (POSCAR):
```
HgRu2W
1.0
-2.814 1.980 0.926
-2.130 -3.501 1.010
1.471 0.244 3.949
W Ru Hg
1 2 1
Direct
0.500 0.500 0.000
0.000 0.500 0.500
0.000 0.000 0.000
0.500 0.000 0.500
```

=====

(18)
Here is a relaxed structure of KBe3V from Alexandria. Energies are from GGA-PBE.

Calculated values
Its formation energy is 2.567 eV per atom. Its density is 2.43 g/cm3. The value obtained for the energy above the lowest structure with this stoichiometry is 1.296 eV per atom. Its crystal system is cubic. The total energy comes out at -1.71 eV/atom. For the density of states at the Fermi level, the calculation gives 1.89 states/eV/cell.

Structure (POSCAR):
```
KBe3V
1.0
-1.107 -4.158 -0.244
0.710 0.061 -4.250
4.104 -1.132 0.669
V Be K
1 3 1
Direct
0.500 0.500 0.500
0.000 0.500 0.000
0.500 0.000 0.000
0.000 0.000 0.500
0.000 0.000 0.000
```

=====

(19)
Here is a relaxed structure of LiAc2CdRh from Alexandria. Energies are from GGA-PBE.

Calculated values
Its formation energy is -0.394 eV per atom. Its density is 7.79 g/cm3. Its crystal system is monoclinic. The total energy comes out at -4.07 eV/atom. For the density of states at the Fermi level, the calculation gives 6.30 states/eV/cell.

Structure (POSCAR):
```
LiAc2CdRh
1.0
4.429 0.000 0.000
0.000 8.045 0.363
0.000 -2.983 7.956
Rh Ac Cd Li
2 4 2 2
Direct
0.750 0.117 0.100
0.250 0.883 0.900
0.750 0.892 0.662
0.250 0.273 0.960
0.750 0.727 0.040
0.250 0.108 0.338
0.750 0.347 0.660
0.250 0.653 0.340
0.750 0.433 0.336
0.250 0.567 0.664
```

=====

(20)
Here is a relaxed structure of LuHf2In from Alexandria. Energies are from GGA-PBE.

Calculated values
Its formation energy is -0.103 eV per atom. Its density is 11.67 g/cm3. The value obtained for the energy above the lowest structure with this stoichiometry is 0.000 eV per atom. Its crystal system is tetragonal. The total energy comes out at -6.89 eV/atom. For the density of states at the Fermi level, the calculation gives 4.71 states/eV/cell.

Structure (POSCAR):
```
LuHf2In
1.0
-2.162 3.244 2.359
0.636 -2.331 3.788
3.904 2.126 0.654
Hf In Lu
2 1 1
Direct
0.000 0.500 0.000
0.000 0.000 0.500
0.500 0.500 0.500
0.500 0.000 0.000
```